No. 1
Computed, not measured: crystalline Pa3Bi5As12 at its relaxed geometry at the PBE level of DFT.

Properties
Raw total energy   -5.34 eV per atom
ρ   7.3 g cm⁻³
Total moment   0.0 μB/f.u.
Energy of formation   -0.159 eV/atom

Lattice parameters (Å, degrees): 14.6024 14.6024 14.6024 109.47 109.47 109.47
Atoms (fractional coordinates):
Pa  0.1250  0.2500  0.3750
Pa  0.1250  0.3750  0.7500
Pa  0.2500  0.3750  0.1250
Pa  0.2500  0.8750  0.6250
Pa  0.3750  0.1250  0.2500
Pa  0.3750  0.7500  0.1250
Pa  0.6250  0.2500  0.8750
Pa  0.6250  0.8750  0.7500
Pa  0.7500  0.1250  0.3750
Pa  0.7500  0.6250  0.8750
Pa  0.8750  0.6250  0.2500
Pa  0.8750  0.7500  0.6250
Bi  0.0000  0.0000  0.0000
Bi  0.0000  0.0000  0.5000
Bi  0.0000  0.5000  0.0000
Bi  0.0000  0.5000  0.5000
Bi  0.1250  0.7500  0.8750
Bi  0.1250  0.8750  0.2500
Bi  0.2500  0.1250  0.8750
Bi  0.2500  0.6250  0.3750
Bi  0.3750  0.2500  0.6250
Bi  0.3750  0.6250  0.7500
Bi  0.5000  0.0000  0.0000
Bi  0.5000  0.0000  0.5000
Bi  0.5000  0.5000  0.0000
Bi  0.5000  0.5000  0.5000
Bi  0.6250  0.3750  0.2500
Bi  0.6250  0.7500  0.3750
Bi  0.7500  0.3750  0.6250
Bi  0.7500  0.8750  0.1250
Bi  0.8750  0.1250  0.7500
Bi  0.8750  0.2500  0.1250
As  0.0737  0.2412  0.1556
As  0.0737  0.3325  0.9181
As  0.0819  0.6556  0.4144
As  0.0819  0.9263  0.6675
As  0.0856  0.7412  0.6675
As  0.0856  0.8444  0.4181
As  0.1556  0.0737  0.2412
As  0.1556  0.5819  0.9144
As  0.1675  0.2412  0.5856
As  0.1675  0.4263  0.5819
As  0.2412  0.1556  0.0737
As  0.2412  0.5856  0.1675
As  0.2588  0.3325  0.9144
As  0.2588  0.4263  0.3444
As  0.3325  0.9144  0.2588
As  0.3325  0.9181  0.0737
As  0.3444  0.2588  0.4263
As  0.3444  0.5856  0.9181
As  0.4144  0.0819  0.6556
As  0.4144  0.8325  0.7588
As  0.4181  0.0856  0.8444
As  0.4181  0.8325  0.5737
As  0.4263  0.3444  0.2588
As  0.4263  0.5819  0.1675
As  0.5737  0.4181  0.8325
As  0.5737  0.6556  0.7412
As  0.5819  0.1675  0.4263
As  0.5819  0.9144  0.1556
As  0.5856  0.1675  0.2412
As  0.5856  0.9181  0.3444
As  0.6556  0.4144  0.0819
As  0.6556  0.7412  0.5737
As  0.6675  0.0819  0.9263
As  0.6675  0.0856  0.7412
As  0.7412  0.5737  0.6556
As  0.7412  0.6675  0.0856
As  0.7588  0.4144  0.8325
As  0.7588  0.8444  0.9263
As  0.8325  0.5737  0.4181
As  0.8325  0.7588  0.4144
As  0.8444  0.4181  0.0856
As  0.8444  0.9263  0.7588
As  0.9144  0.1556  0.5819
As  0.9144  0.2588  0.3325
As  0.9181  0.0737  0.3325
As  0.9181  0.3444  0.5856
As  0.9263  0.6675  0.0819
As  0.9263  0.7588  0.8444

No. 2
Computed, not measured: crystalline PaBi2As2Rh7 at its relaxed geometry at the PBE level of DFT.

Properties
Raw total energy   -6.95 eV per atom
ρ   11.1 g cm⁻³
Total moment   0.0 μB/f.u.
Energy of formation   -0.449 eV/atom

Lattice parameters (Å, degrees): 4.0109 4.0109 14.2623 95.61 95.61 90.09
Atoms (fractional coordinates):
Pa  0.0000  0.0000  0.0000
Bi  0.1241  0.1241  0.3932
Bi  0.8759  0.8759  0.6068
As  0.4138  0.4138  0.7532
As  0.5862  0.5862  0.2468
Rh  0.0512  0.5512  0.1456
Rh  0.3711  0.3711  0.5768
Rh  0.4488  0.9488  0.8544
Rh  0.5000  0.5000  0.0000
Rh  0.5512  0.0512  0.1456
Rh  0.6289  0.6289  0.4232
Rh  0.9488  0.4488  0.8544

- Look up the total moment of the second one.
  0.0 μB/f.u.